<1>
## SmGd2Er (PBE)

Data for SmGd2Er after structural relaxation.

The calculated volume is 129 Å³ per cell. As for the space group: No. 123.

Cell lengths 5.0452, 5.0452, 5.0613 Å; angles 90.00, 90.00, 90.00 degrees
Closest atoms and distances in Å follow each position.
Fractional coordinates of all 4 atoms:
Sm1 0.0000 0.0000 0.0000  4 Er 3.57, 8 Gd 3.57
Gd1 0.0000 0.5000 0.5000  4 Gd 3.57, 4 Er 3.57, 4 Sm 3.57
Gd2 0.5000 0.0000 0.5000  4 Gd 3.57, 4 Er 3.57, 4 Sm 3.57
Er1 0.5000 0.5000 0.0000  4 Sm 3.57, 8 Gd 3.57

<2>
## SmGd2Er (PBE)

Data for SmGd2Er after structural relaxation.

The calculated volume is 130 Å³ per cell. As for the space group: No. 225.

Cell lengths 5.6899, 5.6899, 5.6899 Å; angles 60.00, 60.00, 60.00 degrees
Closest atoms and distances in Å follow each position.
Fractional coordinates of all 4 atoms:
Sm1 0.0000 0.0000 0.0000  8 Gd 3.48
Gd1 0.2500 0.2500 0.2500  4 Er 3.48, 4 Sm 3.48
Gd2 0.7500 0.7500 0.7500  4 Sm 3.48, 4 Er 3.48
Er1 0.5000 0.5000 0.5000  8 Gd 3.48

<1> has the most favorable energy; the next structure is 77 meV/atom above.

<1>
## SrGd2Er (PBE)

Data for SrGd2Er after structural relaxation.

The calculated volume is 144 Å³ per cell. As for the space group: No. 123.

Cell lengths 3.6888, 3.6888, 10.5765 Å; angles 90.00, 90.00, 90.00 degrees
Closest atoms and distances in Å follow each position.
Fractional coordinates of all 4 atoms:
Sr1 0.0000 0.0000 0.0000  4 Sr 3.69, 8 Gd 3.95
Gd1 0.5000 0.5000 0.2809  4 Er 3.49, 4 Gd 3.69
Gd2 0.5000 0.5000 0.7191  4 Er 3.49, 4 Gd 3.69
Er1 0.0000 0.0000 0.5000  8 Gd 3.49, 4 Er 3.69

<2>
## SrGd2Er (PBE)

Data for SrGd2Er after structural relaxation.

The calculated volume is 144 Å³ per cell. As for the space group: No. 166.

Cell lengths 12.9284, 12.9284, 12.9284 Å; angles 16.07, 16.07, 16.07 degrees
Closest atoms and distances in Å follow each position.
Fractional coordinates of all 4 atoms:
Sr1 0.0000 0.0000 0.0000  2 Gd 3.56, 6 Sr 3.61
Gd1 0.0931 0.0931 0.0931  3 Er 3.51, 1 Sr 3.56, 6 Gd 3.61
Gd2 0.9069 0.9069 0.9069  3 Er 3.51, 1 Sr 3.56, 6 Gd 3.61
Er1 0.5000 0.5000 0.5000  6 Gd 3.51, 6 Er 3.61

<1> has the most favorable energy; the next structure is 98 meV/atom above.

<1>
## SrGdEr2 (PBE)

Data for SrGdEr2 after structural relaxation.

The calculated volume is 141 Å³ per cell. As for the space group: No. 123.

Cell lengths 3.6717, 3.6717, 10.4870 Å; angles 90.00, 90.00, 90.00 degrees
Closest atoms and distances in Å follow each position.
Fractional coordinates of all 4 atoms:
Sr1 0.0000 0.0000 0.0000  4 Sr 3.67, 8 Er 3.91
Gd1 0.0000 0.0000 0.5000  8 Er 3.48, 4 Gd 3.67
Er1 0.5000 0.5000 0.2791  4 Gd 3.48, 4 Er 3.67
Er2 0.5000 0.5000 0.7209  4 Gd 3.48, 4 Er 3.67

<2>
## SrGdEr2 (PBE)

Data for SrGdEr2 after structural relaxation.

The calculated volume is 140 Å³ per cell. As for the space group: No. 225.

Cell lengths 5.8292, 5.8292, 5.8292 Å; angles 60.00, 60.00, 60.00 degrees
Closest atoms and distances in Å follow each position.
Fractional coordinates of all 4 atoms:
Sr1 0.0000 0.0000 0.0000  8 Er 3.57
Gd1 0.5000 0.5000 0.5000  8 Er 3.57
Er1 0.2500 0.2500 0.2500  4 Gd 3.57, 4 Sr 3.57
Er2 0.7500 0.7500 0.7500  4 Gd 3.57, 4 Sr 3.57

<1> has the most favorable energy; the next structure is 109 meV/atom above.

<1>
## SrGdEr (PBE)

Data for SrGdEr after structural relaxation.

The calculated volume is 112 Å³ per cell. As for the space group: No. 107.

Cell lengths 8.3806, 8.3806, 8.3806 Å; angles 154.12, 154.12, 36.93 degrees
Closest atoms and distances in Å follow each position.
Fractional coordinates of all 3 atoms:
Sr1 0.0000 0.0000 0.0000  4 Sr 3.75, 4 Er 3.89, 4 Gd 3.96
Gd1 0.6849 0.6849 0.0000  4 Er 3.43, 4 Gd 3.75
Er1 0.3215 0.3215 0.0000  4 Gd 3.43, 4 Er 3.75

<2>
## SrGdEr (PBE)

Data for SrGdEr after structural relaxation.

The calculated volume is 111 Å³ per cell. As for the space group: No. 156.

Cell lengths 3.7245, 3.7245, 9.2705 Å; angles 90.00, 90.00, 120.00 degrees
Closest atoms and distances in Å follow each position.
Fractional coordinates of all 3 atoms:
Sr1 0.0000 0.0000 0.0000  6 Sr 3.72, 3 Er 3.88, 3 Gd 3.97
Gd1 0.6667 0.3333 0.3605  3 Er 3.45, 6 Gd 3.72
Er1 0.3333 0.6667 0.6516  3 Gd 3.45, 6 Er 3.72

<1> has the most favorable energy; the next structure is 27 meV/atom above.

<1>
## TbGd2Er (PBE)

Data for TbGd2Er after structural relaxation.

The calculated volume is 127 Å³ per cell. As for the space group: No. 123.

Cell lengths 3.5559, 3.5559, 10.0463 Å; angles 90.00, 90.00, 90.00 degrees
Closest atoms and distances in Å follow each position.
Fractional coordinates of all 4 atoms:
Tb1 0.0000 0.0000 0.0000  4 Tb 3.56, 8 Gd 3.57
Gd1 0.5000 0.5000 0.2517  4 Er 3.54, 4 Gd 3.56, 4 Tb 3.57
Gd2 0.5000 0.5000 0.7483  4 Er 3.54, 4 Gd 3.56, 4 Tb 3.57
Er1 0.0000 0.0000 0.5000  8 Gd 3.54, 4 Er 3.56

<2>
## TbGd2Er (PBE)

Data for TbGd2Er after structural relaxation.

The calculated volume is 128 Å³ per cell. As for the space group: No. 225.

Cell lengths 5.6640, 5.6640, 5.6640 Å; angles 60.00, 60.00, 60.00 degrees
Closest atoms and distances in Å follow each position.
Fractional coordinates of all 4 atoms:
Tb1 0.0000 0.0000 0.0000  8 Gd 3.47
Gd1 0.2500 0.2500 0.2500  4 Tb 3.47, 4 Er 3.47
Gd2 0.7500 0.7500 0.7500  4 Tb 3.47, 4 Er 3.47
Er1 0.5000 0.5000 0.5000  8 Gd 3.47

<1> has the most favorable energy; the next structure is 75 meV/atom above.

<1>
## Gd2ErTc (PBE)

Data for Gd2ErTc after structural relaxation.

The calculated volume is 110 Å³ per cell. As for the space group: No. 166.

Cell lengths 10.9759, 10.9759, 10.9759 Å; angles 17.99, 17.99, 17.99 degrees
Closest atoms and distances in Å follow each position.
Fractional coordinates of all 4 atoms:
Gd1 0.1035 0.1035 0.1035  3 Tc 2.85
Gd2 0.8965 0.8965 0.8965  3 Tc 2.85
Er1 0.0000 0.0000 0.0000  2 Gd 3.35, 6 Er 3.43
Tc1 0.5000 0.5000 0.5000  6 Gd 2.85

<2>
## Gd2ErTc (PBE)

Data for Gd2ErTc after structural relaxation.

The calculated volume is 106 Å³ per cell. As for the space group: No. 123.

Cell lengths 3.4630, 3.4630, 8.8500 Å; angles 90.00, 90.00, 90.00 degrees
Closest atoms and distances in Å follow each position.
Fractional coordinates of all 4 atoms:
Gd1 0.0000 0.0000 0.1895  4 Tc 2.97
Gd2 0.0000 0.0000 0.8105  4 Tc 2.97
Er1 0.5000 0.5000 0.5000  4 Er 3.46, 8 Gd 3.68
Tc1 0.5000 0.5000 0.0000  8 Gd 2.97

<2> has the most favorable energy; the next structure is 226 meV/atom above.